Here is Sr4ZnAu after structural relaxation from Alexandria. Energies are from PBE.

energy of formation from the pure elements = -147 kJ/mol of formula units
magnetization = 0.00 μB per atom
D(E_F) = 7.77 states/eV/f.u.

Lattice parameters (Å, degrees): 5.5073 5.5073 7.7500 90.06 90.06 90.00
Positions (direct):
Sr  0.0001  0.4992  0.2478
Sr  0.9999  0.5008  0.7522
Sr  0.4992  0.0001  0.2478
Sr  0.5008  0.9999  0.7522
Zn  0.0000  0.0000  0.5000
Au  0.5000  0.5000  0.0000